Material: MgNpCrO6
Method: DFT, PBE with a Hubbard U
State: optimized geometry

Cell and atoms, written as CIF:
```
data_MgNpCrO6
_symmetry_space_group_name_H-M 'P 1'
_symmetry_Int_Tables_number 1
_cell_length_a 5.1144
_cell_length_b 5.1144
_cell_length_c 9.1475
_cell_angle_alpha 90.00
_cell_angle_beta 90.00
_cell_angle_gamma 120.00
loop_
_symmetry_equiv_pos_as_xyz
'x,y,z'
loop_
_atom_site_label
_atom_site_type_symbol
_atom_site_fract_x
_atom_site_fract_y
_atom_site_fract_z
Mg1 Mg 0.3333 0.6667 0.2500
Mg2 Mg 0.6667 0.3333 0.7500
Np1 Np 0.0000 0.0000 0.0000
Np2 Np 0.0000 0.0000 0.5000
Cr1 Cr 0.3333 0.6667 0.7500
Cr2 Cr 0.6667 0.3333 0.2500
O1 O 0.0128 0.3336 0.6280
O2 O 0.0128 0.6792 0.8720
O3 O 0.3208 0.3336 0.8720
O4 O 0.3208 0.9872 0.6280
O5 O 0.3336 0.0128 0.1280
O6 O 0.3336 0.3208 0.3720
O7 O 0.6664 0.6792 0.6280
O8 O 0.6664 0.9872 0.8720
O9 O 0.6792 0.0128 0.3720
O10 O 0.6792 0.6664 0.1280
O11 O 0.9872 0.3208 0.1280
O12 O 0.9872 0.6664 0.3720
```

symmetry = P-31c
uncorrected energy = -146.1 eV per cell